A plane-wave DFT calculation with meta-GGA SCAN was carried out for a PBEsol-optimized structure of AlSiNi2.

```
AlSiNi2
1.0
-0.4344 5.3634 -0.4856
-3.7713 -0.6515 -3.8220
-4.6166 0.0380 4.5489
Al Ni Si
4 8 4
Cartesian
-5.0221 5.0556 1.7867
-4.4173 2.4409 2.4224
-3.8001 -0.3057 -1.5455
-4.4049 2.3090 -2.1812
-6.5500 1.1281 2.1307
-0.4778 1.2125 -0.0482
-8.3444 3.5373 0.2894
-6.4829 3.5220 -1.5448
-2.2722 3.6218 -1.8894
-2.3393 1.2279 1.7860
-4.1337 3.6371 -0.0553
-4.6885 1.1128 0.2965
-6.6871 0.0505 0.1388
-6.2044 2.8530 0.6052
-2.6178 1.8968 -0.3640
-2.1352 4.6994 0.1024
```

Calculated values
energy relative to the elements, uncorrected: -0.572 eV per atom
crystal system: orthorhombic


A plane-wave DFT calculation with meta-GGA SCAN was carried out for a PBEsol-optimized structure of Al2Si2Ni.

```
Al2Si2Ni
1.0
-0.9564 -3.6433 0.6775
4.4011 -0.3353 4.4099
-4.1387 1.8811 4.2735
Al Si Ni
4 4 2
Cartesian
-1.9786 1.4749 5.1386
2.2411 0.0708 3.5448
-0.7517 0.5986 2.1578
1.0141 0.9472 6.5256
0.4400 -1.6565 2.5232
-1.1339 -0.4410 6.8376
-2.5081 -0.6490 3.7794
1.8142 -1.4485 5.5814
0.0000 0.0000 0.0000
0.1312 0.7729 4.3417
```

Calculated values
energy relative to the elements, uncorrected: 0.301 eV per atom
crystal system: tetragonal


A plane-wave DFT calculation with meta-GGA SCAN was carried out for a PBEsol-optimized structure of AlSi2Ni4.

```
AlSi2Ni4
1.0
3.7260 0.0000 0.0000
0.0000 5.5672 -0.0136
0.0000 -0.7401 7.7350
Ni Al Si
8 2 4
Cartesian
2.7945 -0.3870 4.7495
2.7945 2.9508 0.8191
0.9315 5.2141 2.9720
0.9315 4.8819 6.3462
0.9315 3.2146 4.4560
2.7945 1.6125 3.2654
2.7945 -0.0548 1.3753
0.9315 1.8764 6.9023
0.9315 1.6517 1.6367
2.7945 3.1754 6.0847
2.7945 3.7944 2.9742
0.9315 1.0327 4.7473
0.9315 4.4210 0.6272
2.7945 0.4061 7.0942
```

Calculated values
energy relative to the elements, uncorrected: -0.568 eV per atom
crystal system: monoclinic


A plane-wave DFT calculation with meta-GGA SCAN was carried out for a PBEsol-optimized structure of Sm4Al23Ni6.

```
Sm4Al23Ni6
1.0
4.0640 0.0000 0.0000
2.0320 7.9131 0.0097
2.0320 0.7956 16.7557
Al Ni Sm
23 6 4
Cartesian
4.0640 2.8516 13.1031
2.0320 4.3543 8.3827
4.0640 5.6316 9.9806
6.0959 7.4642 11.3277
4.0640 1.0681 0.8455
2.0320 0.5820 2.7161
6.0959 4.3160 11.5108
4.0640 3.0770 6.7849
6.0959 7.4034 8.7307
4.0640 3.7142 0.7737
4.0640 6.4287 1.0091
2.0320 1.2445 5.4377
6.0959 7.3600 4.7010
6.0959 8.1267 14.0494
2.0320 4.3927 5.2546
4.0640 4.9944 15.9917
2.0320 4.6196 2.3806
6.0959 4.0890 14.3848
2.0320 1.3487 12.0644
4.0640 5.8571 3.6623
4.0640 2.2800 15.7563
4.0640 7.6406 15.9200
2.0320 1.3053 8.0348
4.0640 0.7559 6.6789
2.0320 2.5171 1.1308
6.0959 6.1915 15.6347
2.0320 1.6402 14.4733
4.0640 7.9527 10.0865
6.0959 7.0685 2.2922
4.0640 2.5635 9.9451
4.0640 2.6450 3.6609
4.0640 6.1452 6.8204
4.0640 6.0636 13.1046
```

Calculated values
calculated formation energy: -0.573 eV/atom
crystal system: monoclinic


A plane-wave DFT calculation with meta-GGA SCAN was carried out for a PBEsol-optimized structure of SrAl3Ni.

```
SrAl3Ni
1.0
-3.9322 2.0040 -1.3137
-2.3950 -3.3665 2.0334
-0.0755 2.4197 3.9171
Al Sr Ni
3 1 1
Cartesian
-1.1975 -1.6832 1.0167
-1.9661 1.0020 -0.6569
-0.0378 1.2098 1.9585
-3.2014 0.5286 2.3184
0.0000 0.0000 0.0000
```

Calculated values
calculated formation energy: -0.295 eV/atom
crystal system: cubic


A plane-wave DFT calculation with meta-GGA SCAN was carried out for a PBEsol-optimized structure of Ta2AlNi.

```
Ta2AlNi
1.0
2.8208 0.0000 0.0000
1.4104 2.4429 0.0000
1.4104 0.8143 8.9647
Ni Ta Al
1 2 1
Cartesian
1.4104 0.8143 2.3387
4.2312 2.4429 0.2323
4.2312 2.4429 6.6390
2.8208 1.6286 4.2370
```

Calculated values
calculated formation energy: -0.018 eV/atom
crystal system: trigonal


A plane-wave DFT calculation with meta-GGA SCAN was carried out for a PBEsol-optimized structure of Ta3AlNi.

```
Ta3AlNi
1.0
-0.4338 4.2404 -1.6987
1.1774 -1.5449 -4.1572
-4.4137 -0.8289 -0.9420
Ni Ta Al
1 3 1
Cartesian
-1.8350 0.9333 -3.3989
-2.2068 -0.4144 -0.4710
0.5887 -0.7725 -2.0786
-0.2169 2.1202 -0.8494
0.0000 0.0000 0.0000
```

Calculated values
calculated formation energy: 1.656 eV/atom
crystal system: cubic


A plane-wave DFT calculation with meta-GGA SCAN was carried out for a PBEsol-optimized structure of TaAl2Ni9.

```
TaAl2Ni9
1.0
-3.4124 0.2572 1.0042
-0.9353 -2.2538 -2.6009
1.3235 -8.1468 6.5837
Ta Ni Al
1 9 2
Cartesian
0.0000 0.0000 0.0000
-1.0445 -3.9448 3.7940
-2.1738 -0.9983 -0.7983
-0.2409 -2.5226 -0.1725
-1.4795 -1.2671 1.6300
0.6291 -7.8780 4.1554
0.1941 -5.2003 1.9914
-1.7285 -3.7395 1.4169
-0.6095 -6.6225 5.9579
-1.2957 -6.4040 3.5702
0.4491 -2.7644 2.2340
0.8744 -5.3825 4.3497
```

Calculated values
calculated formation energy: -0.461 eV/atom
crystal system: tetragonal


A plane-wave DFT calculation with meta-GGA SCAN was carried out for a PBEsol-optimized structure of Ta2AlNi.

```
Ta2AlNi
1.0
-2.3975 0.6560 1.2925
-1.4438 -0.8621 -2.2407
-0.3442 -7.0070 2.9177
Ta Ni Al
2 1 1
Cartesian
-2.0138 -1.9995 0.3156
-0.3319 -6.7552 2.8128
-2.1709 -5.1969 1.6469
-0.1853 -3.7720 1.5706
```

Calculated values
calculated formation energy: -0.322 eV/atom
crystal system: tetragonal


A plane-wave DFT calculation with meta-GGA SCAN was carried out for a PBEsol-optimized structure of TaAl2Ni.

```
TaAl2Ni
1.0
2.8297 0.0000 0.0000
0.0000 2.8297 0.0000
0.0000 0.0000 6.9756
Ni Al Ta
1 2 1
Cartesian
1.4149 1.4149 0.0000
0.0000 0.0000 1.4488
0.0000 0.0000 5.5268
1.4149 1.4149 3.4878
```

Calculated values
calculated formation energy: -0.543 eV/atom
crystal system: tetragonal


A plane-wave DFT calculation with meta-GGA SCAN was carried out for a PBEsol-optimized structure of TaAlNi6.

```
TaAlNi6
1.0
-2.0298 -5.0931 2.8618
-1.3827 -0.3079 -6.0203
8.8443 -4.5359 -1.7994
Ni Al Ta
24 4 4
Cartesian
6.8083 -5.9384 -1.2631
0.1501 -2.5238 0.0915
0.6744 -6.3271 -1.9301
2.5244 -2.4647 -2.5734
0.3310 -5.0203 0.1866
-1.5385 -5.1963 -1.4714
5.2816 -7.4132 -5.0493
5.1196 -8.6110 -2.8260
-1.7063 -2.7005 -1.5792
0.8352 -5.1382 -4.1368
3.0682 -6.2834 -4.5911
4.7574 -3.6099 -3.0277
-1.3765 -3.9985 -3.6947
0.6534 -2.6358 -4.2396
5.1008 -4.9166 -5.1444
2.9074 -7.4723 -2.3844
0.3121 -1.3259 -2.1318
4.4222 -2.2680 -0.8997
2.7159 -4.9685 -2.4789
4.7783 -7.3012 -0.7183
6.9702 -4.7406 -3.4864
4.5966 -4.7988 -0.8210
0.0000 0.0000 0.0000
2.3636 -3.6535 -0.3667
4.9667 -6.1228 -2.9368
-1.5419 -1.4849 -3.8356
-1.8707 -3.9161 0.6771
0.4650 -3.8141 -2.0210
2.5518 -6.1817 -0.2270
6.6825 -3.4272 -1.3596
2.1618 -1.1087 -0.4398
2.8799 -3.7553 -4.7308
```

Calculated values
calculated formation energy: -0.437 eV/atom
crystal system: orthorhombic


A plane-wave DFT calculation with meta-GGA SCAN was carried out for a PBEsol-optimized structure of TaAl2Ni.

```
TaAl2Ni
1.0
-0.8340 -2.7496 -0.7063
0.4639 -0.8583 2.7938
-6.1715 1.4910 1.4829
Al Ni Ta
2 1 1
Cartesian
-1.9518 -1.3771 1.4683
-0.0784 0.0189 0.0188
-2.8639 0.6919 0.6881
-4.7331 -0.7052 2.1366
```

Calculated values
calculated formation energy: -0.336 eV/atom
crystal system: tetragonal


Number 1: size of the total moment 0.00 μB/atom, VASP energy -13.1008 eV/atom. Number 2: size of the total moment 0.00 μB/atom, VASP energy -10.0407 eV/atom. Number 3: size of the total moment 0.00 μB/atom, VASP energy -13.7793 eV/atom. Number 4: size of the total moment 0.00 μB/atom, VASP energy -14.3038 eV/atom. Number 5: size of the total moment 0.00 μB/atom, VASP energy -12.6355 eV/atom. Number 6: size of the total moment 0.00 μB/atom, VASP energy -39.2913 eV/atom. Number 7: size of the total moment 0.00 μB/atom, VASP energy -43.0786 eV/atom. Number 8: size of the total moment 0.07 μB/atom, VASP energy -19.4312 eV/atom. Number 9: size of the total moment 0.00 μB/atom, VASP energy -39.5948 eV/atom. Number 10: size of the total moment 0.00 μB/atom, VASP energy -25.1079 eV/atom. Number 11: size of the total moment 0.00 μB/atom, VASP energy -21.8585 eV/atom. Number 12: size of the total moment 0.00 μB/atom, VASP energy -24.9011 eV/atom.